No. 1
Density functional theory data (PBE) for a relaxed structure of Re2SbMo2.

abc: 4.201 4.201 6.235
angles: 70.31 70.31 90.00
Positions (direct):
Re: 0.619 0.619 0.762
Mo: 0.250 0.750 0.500
Sb: 0.000 0.000 0.000
Mo: 0.750 0.250 0.500
Re: 0.381 0.381 0.238

## Properties
Total energy in eV per cell: -48.10
V in Å³/cell: 96.7


No. 2
Density functional theory data (PBE) for a relaxed structure of ReSb2Mo.

abc: 4.296 3.153 5.684
angles: 86.85 90.00 90.00
Positions (direct):
Sb: 0.000 0.957 0.001
Mo: 0.500 0.250 0.250
Sb: 0.000 0.543 0.499
Re: 0.500 0.750 0.750

## Properties
Total energy in eV per cell: -28.32
V in Å³/cell: 76.9


No. 3
Density functional theory data (PBE) for a relaxed structure of ReSb3Mo.

abc: 5.171 5.171 5.171
angles: 90.00 90.00 90.00
Positions (direct):
Re: 0.000 0.000 0.000
Sb: 0.000 0.500 0.000
Sb: 0.000 0.000 0.500
Sb: 0.500 0.000 0.000
Mo: 0.500 0.500 0.500

## Properties
Total energy in eV per cell: -29.06
V in Å³/cell: 138.3


No. 4
Density functional theory data (PBE) for a relaxed structure of ReSb2Mo.

abc: 10.796 10.796 10.796
angles: 16.60 16.60 16.60
Positions (direct):
Mo: 0.488 0.488 0.488
Sb: 0.226 0.226 0.226
Re: 0.761 0.761 0.761
Sb: 0.026 0.026 0.026

## Properties
Total energy in eV per cell: -30.23
V in Å³/cell: 89.6


No. 5
Density functional theory data (PBE) for a relaxed structure of ReSbMo.

abc: 3.025 3.025 6.727
angles: 90.00 90.00 120.00
Positions (direct):
Sb: 0.333 0.667 0.666
Mo: 0.000 0.000 0.020
Re: 0.667 0.333 0.314

## Properties
Total energy in eV per cell: -26.17
V in Å³/cell: 53.3


No. 6
Density functional theory data (PBE) for a relaxed structure of ReSb2Mo.

abc: 3.080 4.146 5.927
angles: 90.00 90.00 90.00
Positions (direct):
Sb: 0.000 0.000 0.950
Mo: 0.000 0.000 0.487
Re: 0.500 0.500 0.762
Sb: 0.500 0.500 0.301

## Properties
Total energy in eV per cell: -29.72
V in Å³/cell: 75.7


No. 7
Density functional theory data (PBE) for a relaxed structure of ReSb2Mo.

abc: 4.660 4.660 4.660
angles: 60.00 60.00 60.00
Positions (direct):
Sb: 0.750 0.750 0.750
Sb: 0.250 0.250 0.250
Re: 0.500 0.500 0.500
Mo: 0.000 0.000 0.000

## Properties
Total energy in eV per cell: -29.88
V in Å³/cell: 71.6


No. 8
Density functional theory data (PBE) for a relaxed structure of ReSb2Mo.

abc: 4.248 4.248 9.652
angles: 77.29 77.29 90.00
Positions (direct):
Mo: 0.250 0.750 0.500
Re: 0.000 0.000 0.000
Re: 0.750 0.250 0.500
Sb: 0.375 0.373 0.750
Sb: 0.627 0.125 0.250
Sb: 0.123 0.625 0.250
Sb: 0.875 0.877 0.750
Mo: 0.500 0.500 0.000

## Properties
Total energy in eV per cell: -55.98
V in Å³/cell: 165.5


No. 9
Density functional theory data (PBE) for a relaxed structure of ReSb2Mo.

abc: 5.066 5.066 5.066
angles: 129.63 129.63 74.00
Positions (direct):
Re: 0.750 0.250 0.500
Sb: 0.250 0.750 0.500
Mo: 0.500 0.500 0.000
Sb: 0.000 0.000 0.000

## Properties
Total energy in eV per cell: -28.66
V in Å³/cell: 75.2


No. 10
Density functional theory data (PBE) for a relaxed structure of ReSb2Mo.

abc: 5.359 5.359 5.359
angles: 144.14 119.72 72.17
Positions (direct):
Mo: 0.250 0.750 0.500
Sb: 0.504 0.504 0.000
Sb: 0.996 0.996 0.000
Re: 0.750 0.250 0.500

## Properties
Total energy in eV per cell: -28.26
V in Å³/cell: 76.9


No. 11
Density functional theory data (PBE) for a relaxed structure of ReSbMo.

abc: 4.796 4.796 4.796
angles: 142.86 128.26 65.39
Positions (direct):
Re: 0.331 0.331 0.000
Mo: 0.002 0.002 0.000
Sb: 0.667 0.667 0.000

## Properties
Total energy in eV per cell: -26.02
V in Å³/cell: 51.6


No. 12
Density functional theory data (PBE) for a relaxed structure of ReSb2Mo.

abc: 8.690 8.690 8.690
angles: 21.06 21.06 21.06
Positions (direct):
Sb: 0.001 0.001 0.001
Sb: 0.499 0.499 0.499
Re: 0.750 0.750 0.750
Mo: 0.250 0.250 0.250

## Properties
Total energy in eV per cell: -29.28
V in Å³/cell: 74.2


Number 1: density of states at the Fermi level 5.017 states/eV/cell, formation energy (no corrections) 0.515 eV/atom, E above lowest polymorph 131 meV/atom. Number 2: density of states at the Fermi level 4.006 states/eV/cell, formation energy (no corrections) 0.800 eV/atom, E above lowest polymorph 639 meV/atom. Number 3: density of states at the Fermi level 4.749 states/eV/cell, formation energy (no corrections) 1.318 eV/atom, E above lowest polymorph 0 meV/atom. Number 4: density of states at the Fermi level 2.100 states/eV/cell, formation energy (no corrections) 0.323 eV/atom, E above lowest polymorph 161 meV/atom. Number 5: density of states at the Fermi level 2.256 states/eV/cell, formation energy (no corrections) 0.411 eV/atom, E above lowest polymorph 153 meV/atom. Number 6: density of states at the Fermi level 3.531 states/eV/cell, formation energy (no corrections) 0.452 eV/atom, E above lowest polymorph 291 meV/atom. Number 7: density of states at the Fermi level 2.680 states/eV/cell, formation energy (no corrections) 0.412 eV/atom, E above lowest polymorph 250 meV/atom. Number 8: density of states at the Fermi level 9.321 states/eV/cell, formation energy (no corrections) 0.884 eV/atom, E above lowest polymorph 722 meV/atom. Number 9: density of states at the Fermi level 4.401 states/eV/cell, formation energy (no corrections) 0.715 eV/atom, E above lowest polymorph 553 meV/atom. Number 10: density of states at the Fermi level 4.099 states/eV/cell, formation energy (no corrections) 0.815 eV/atom, E above lowest polymorph 654 meV/atom. Number 11: density of states at the Fermi level 2.212 states/eV/cell, formation energy (no corrections) 0.462 eV/atom, E above lowest polymorph 204 meV/atom. Number 12: density of states at the Fermi level 3.653 states/eV/cell, formation energy (no corrections) 0.560 eV/atom, E above lowest polymorph 398 meV/atom.